# 1
The following is a PBE-GGA calculation of an optimized crystal structure of SrLi2Al, from Alexandria via LeMat-Bulk. Values from VASP.

Geometry as Quantum ESPRESSO input:
```
&SYSTEM
  ibrav = 0, nat = 4, ntyp = 3
/
ATOMIC_SPECIES
Sr 87.62 Sr.upf
Li 6.94 Li.upf
Al 26.98 Al.upf
ATOMIC_POSITIONS crystal
Sr 0.0000 0.0000 0.0000
Li 0.2500 0.2500 0.2500
Li 0.5000 0.5000 0.5000
Al 0.7500 0.7500 0.7500
CELL_PARAMETERS angstrom
0.0000 3.7471 3.7471
3.7471 0.0000 3.7471
3.7471 3.7471 0.0000
```

Summary:
size of the total moment	0.054	μB/atom
DFT formation energy	1.0	kcal/mol of atoms
V	105.2	Å³/cell

# 2
The following is a PBE-GGA calculation of an optimized crystal structure of Ca2AlSn4, from Alexandria via LeMat-Bulk. Values from VASP.

Geometry as Quantum ESPRESSO input:
```
&SYSTEM
  ibrav = 0, nat = 7, ntyp = 3
/
ATOMIC_SPECIES
Ca 40.08 Ca.upf
Al 26.98 Al.upf
Sn 118.71 Sn.upf
ATOMIC_POSITIONS crystal
Ca 0.1320 0.1320 0.0000
Ca 0.8680 0.8680 0.0000
Al 0.5000 0.5000 0.0000
Sn 0.0000 0.5000 0.5000
Sn 0.3312 0.3312 0.0000
Sn 0.5000 0.0000 0.5000
Sn 0.6688 0.6688 0.0000
CELL_PARAMETERS angstrom
-2.6693 2.6693 7.8581
2.6693 -2.6693 7.8581
2.6693 2.6693 -7.8581
```

Summary:
size of the total moment	0.000	μB/atom
DFT formation energy	-0.5	kcal/mol of atoms
V	224.0	Å³/cell

# 3
The following is a PBE-GGA calculation of an optimized crystal structure of AcTm2Zr, from Alexandria via LeMat-Bulk. Values from VASP.

Geometry as Quantum ESPRESSO input:
```
&SYSTEM
  ibrav = 0, nat = 4, ntyp = 3
/
ATOMIC_SPECIES
Ac 227.00 Ac.upf
Tm 168.93 Tm.upf
Zr 91.22 Zr.upf
ATOMIC_POSITIONS crystal
Ac 0.0000 0.0000 0.0000
Tm 0.4161 0.4161 0.4161
Tm 0.5839 0.5839 0.5839
Zr 0.5000 0.5000 0.5000
CELL_PARAMETERS angstrom
1.7290 0.9983 12.1925
-1.7290 0.9983 12.1925
0.0000 -1.9965 12.1925
```

Summary:
size of the total moment	0.000	μB/atom
distance to the lowest polymorph of the same formula	285.8	meV per atom
DFT formation energy	10.2	kcal/mol of atoms
V	126.3	Å³/cell

# 4
The following is a PBE-GGA calculation of an optimized crystal structure of Ce3SbP, from Alexandria via LeMat-Bulk. Values from VASP.

Geometry as Quantum ESPRESSO input:
```
&SYSTEM
  ibrav = 0, nat = 20, ntyp = 3
/
ATOMIC_SPECIES
Ce 140.12 Ce.upf
Sb 121.76 Sb.upf
P 30.97 P.upf
ATOMIC_POSITIONS crystal
Ce 0.0290 0.2500 0.1101
Ce 0.1381 0.2500 0.5098
Ce 0.1895 0.7500 0.2788
Ce 0.3105 0.2500 0.7788
Ce 0.3619 0.7500 0.0098
Ce 0.4710 0.7500 0.6101
Ce 0.5290 0.2500 0.3899
Ce 0.6381 0.2500 0.9902
Ce 0.6895 0.7500 0.2212
Ce 0.8105 0.2500 0.7212
Ce 0.8619 0.7500 0.4902
Ce 0.9710 0.7500 0.8899
Sb 0.0869 0.7500 0.6755
Sb 0.4131 0.2500 0.1755
Sb 0.5869 0.7500 0.8245
Sb 0.9131 0.2500 0.3245
P 0.1726 0.2500 0.9431
P 0.3274 0.7500 0.4431
P 0.6726 0.2500 0.5569
P 0.8274 0.7500 0.0569
CELL_PARAMETERS angstrom
8.5088 0.0000 0.0000
0.0000 4.2359 0.0000
0.0000 0.0000 15.2011
```

Summary:
energy relative to the elements, uncorrected	-1.00	eV per atom
size of the total moment	0.739	μB/atom
V	547.9	Å³/cell

# 5
The following is a PBE-GGA calculation of an optimized crystal structure of Ti4NbRe, from Alexandria via LeMat-Bulk. Values from VASP.

Geometry as Quantum ESPRESSO input:
```
&SYSTEM
  ibrav = 0, nat = 6, ntyp = 3
/
ATOMIC_SPECIES
Ti 47.87 Ti.upf
Nb 92.91 Nb.upf
Re 186.21 Re.upf
ATOMIC_POSITIONS crystal
Ti 0.1559 0.1559 0.3081
Ti 0.1849 0.1849 0.8307
Ti 0.8151 0.8151 0.1693
Ti 0.8441 0.8441 0.6919
Nb 0.5000 0.5000 0.5000
Re 0.5000 0.5000 0.0000
CELL_PARAMETERS angstrom
4.8204 -2.2533 0.0000
4.8204 2.2533 0.0000
-3.2497 0.0000 4.6128
```

Summary:
size of the total moment	0.000	μB/atom
distance to the lowest polymorph of the same formula	0.0	meV per atom
DFT formation energy	-3.8	kcal/mol of atoms
V	100.2	Å³/cell

# 6
The following is a PBE-GGA calculation of an optimized crystal structure of MgCrRe2, from Alexandria via LeMat-Bulk. Values from VASP.

Geometry as Quantum ESPRESSO input:
```
&SYSTEM
  ibrav = 0, nat = 4, ntyp = 3
/
ATOMIC_SPECIES
Mg 24.30 Mg.upf
Cr 52.00 Cr.upf
Re 186.21 Re.upf
ATOMIC_POSITIONS crystal
Mg 0.0000 0.0000 0.0000
Cr 0.2500 0.2500 0.2500
Re 0.5000 0.5000 0.5000
Re 0.7500 0.7500 0.7500
CELL_PARAMETERS angstrom
0.0000 3.0898 3.0898
3.0898 0.0000 3.0898
3.0898 3.0898 0.0000
```

Summary:
size of the total moment	0.530	μB/atom
DFT formation energy	5.7	kcal/mol of atoms
V	59.0	Å³/cell

# 7
The following is a PBE-GGA calculation of an optimized crystal structure of AlGaSeN2, from Alexandria via LeMat-Bulk. Values from VASP.

Geometry as Quantum ESPRESSO input:
```
&SYSTEM
  ibrav = 0, nat = 5, ntyp = 4
/
ATOMIC_SPECIES
Al 26.98 Al.upf
Ga 69.72 Ga.upf
Se 78.96 Se.upf
N 14.01 N.upf
ATOMIC_POSITIONS crystal
Al 0.0000 0.0000 0.0000
Ga 0.5000 0.5000 0.5000
Se 0.5000 0.5000 0.0000
N 0.0000 0.5000 0.5000
N 0.5000 0.0000 0.5000
CELL_PARAMETERS angstrom
3.7856 0.0000 0.0000
0.0000 3.7856 0.0000
0.0000 0.0000 5.7907
```

Summary:
energy relative to the elements, uncorrected	1.02	eV per atom
size of the total moment	0.374	μB/atom
distance to the lowest polymorph of the same formula	467.0	meV per atom
V	83.0	Å³/cell

# 8
The following is a PBE-GGA calculation of an optimized crystal structure of ThMgNi10, from Alexandria via LeMat-Bulk. Values from VASP.

Geometry as Quantum ESPRESSO input:
```
&SYSTEM
  ibrav = 0, nat = 12, ntyp = 3
/
ATOMIC_SPECIES
Th 232.04 Th.upf
Mg 24.30 Mg.upf
Ni 58.69 Ni.upf
ATOMIC_POSITIONS crystal
Th 0.0000 0.0000 0.0000
Mg 0.0000 0.5000 0.5000
Ni 0.0000 0.0000 0.3412
Ni 0.0000 0.0000 0.6588
Ni 0.0000 0.5000 0.1795
Ni 0.0000 0.5000 0.8205
Ni 0.5000 0.0000 0.5000
Ni 0.5000 0.2509 0.2544
Ni 0.5000 0.2509 0.7456
Ni 0.5000 0.5000 0.0000
Ni 0.5000 0.7491 0.2544
Ni 0.5000 0.7491 0.7456
CELL_PARAMETERS angstrom
4.0036 0.0000 0.0000
0.0000 4.8297 0.0000
0.0000 0.0000 8.3629
```

Summary:
size of the total moment	0.247	μB/atom
DFT formation energy	-4.8	kcal/mol of atoms
V	161.7	Å³/cell

# 9
The following is a PBE-GGA calculation of an optimized crystal structure of BaMn2Al2, from Alexandria via LeMat-Bulk. Values from VASP.

Geometry as Quantum ESPRESSO input:
```
&SYSTEM
  ibrav = 0, nat = 10, ntyp = 3
/
ATOMIC_SPECIES
Ba 137.33 Ba.upf
Mn 54.94 Mn.upf
Al 26.98 Al.upf
ATOMIC_POSITIONS crystal
Ba 0.0000 0.0000 0.0000
Ba 0.5000 0.5000 0.0000
Mn 0.1691 0.3309 0.5000
Mn 0.3309 0.8309 0.5000
Mn 0.6691 0.1691 0.5000
Mn 0.8309 0.6691 0.5000
Al 0.1176 0.6176 0.0000
Al 0.3824 0.1176 0.0000
Al 0.6176 0.8824 0.0000
Al 0.8824 0.3824 0.0000
CELL_PARAMETERS angstrom
8.1652 0.0000 0.0000
0.0000 8.1652 0.0000
0.0000 0.0000 2.9545
```

Summary:
size of the total moment	1.168	μB/atom
DFT formation energy	6.1	kcal/mol of atoms
V	197.0	Å³/cell

# 10
The following is a PBE-GGA calculation of an optimized crystal structure of MnSiOs2, from Alexandria via LeMat-Bulk. Values from VASP.

Geometry as Quantum ESPRESSO input:
```
&SYSTEM
  ibrav = 0, nat = 4, ntyp = 3
/
ATOMIC_SPECIES
Mn 54.94 Mn.upf
Si 28.09 Si.upf
Os 190.23 Os.upf
ATOMIC_POSITIONS crystal
Mn 0.0000 0.0000 0.0000
Si 0.7416 0.7416 0.3426
Os 0.2516 0.2516 0.8646
Os 0.4861 0.4861 0.4848
CELL_PARAMETERS angstrom
4.4696 -1.4355 0.0000
4.4696 1.4355 0.0000
-1.3796 0.0000 4.1206
```

Summary:
energy relative to the elements, uncorrected	-0.12	eV per atom
size of the total moment	0.553	μB/atom
V	52.9	Å³/cell

# 11
The following is a PBE-GGA calculation of an optimized crystal structure of NpInO6, from Alexandria via LeMat-Bulk. Values from VASP.

Geometry as Quantum ESPRESSO input:
```
&SYSTEM
  ibrav = 0, nat = 16, ntyp = 3
/
ATOMIC_SPECIES
Np 237.00 Np.upf
In 114.82 In.upf
O 16.00 O.upf
ATOMIC_POSITIONS crystal
Np 0.0000 0.0000 0.2500
Np 0.0000 0.0000 0.7500
In 0.5000 0.5000 0.0000
In 0.5000 0.5000 0.5000
O 0.1874 0.8108 0.0000
O 0.1892 0.1874 0.5000
O 0.2635 0.7339 0.3233
O 0.2635 0.7339 0.6767
O 0.2661 0.2635 0.1767
O 0.2661 0.2635 0.8233
O 0.7339 0.7365 0.1767
O 0.7339 0.7365 0.8233
O 0.7365 0.2661 0.3233
O 0.7365 0.2661 0.6767
O 0.8108 0.8126 0.5000
O 0.8126 0.1892 0.0000
CELL_PARAMETERS angstrom
5.0095 0.0000 0.0000
0.0000 5.0095 0.0000
0.0000 0.0000 8.0858
```

Summary:
energy relative to the elements, uncorrected	-1.45	eV per atom
size of the total moment	0.252	μB/atom
V	202.9	Å³/cell

# 12
The following is a PBE-GGA calculation of an optimized crystal structure of Ac4GaSe2I, from Alexandria via LeMat-Bulk. Values from VASP.

Geometry as Quantum ESPRESSO input:
```
&SYSTEM
  ibrav = 0, nat = 8, ntyp = 4
/
ATOMIC_SPECIES
Ac 227.00 Ac.upf
Ga 69.72 Ga.upf
Se 78.96 Se.upf
I 126.90 I.upf
ATOMIC_POSITIONS crystal
Ac 0.2332 0.0000 0.2225
Ac 0.2442 0.5000 0.7635
Ac 0.7558 0.5000 0.2365
Ac 0.7668 0.0000 0.7775
Ga 0.5000 0.0000 0.0000
Se 0.0000 0.0000 0.5000
Se 0.0000 0.5000 0.0000
I 0.5000 0.5000 0.5000
CELL_PARAMETERS angstrom
7.9322 0.0000 0.0000
0.0000 4.4935 0.0000
-2.5786 0.0000 7.7084
```

Summary:
energy relative to the elements, uncorrected	-1.28	eV per atom
size of the total moment	0.000	μB/atom
V	274.8	Å³/cell

# 13
The following is a PBE-GGA calculation of an optimized crystal structure of OsRhPb2, from Alexandria via LeMat-Bulk. Values from VASP.

Geometry as Quantum ESPRESSO input:
```
&SYSTEM
  ibrav = 0, nat = 4, ntyp = 3
/
ATOMIC_SPECIES
Os 190.23 Os.upf
Rh 102.91 Rh.upf
Pb 207.20 Pb.upf
ATOMIC_POSITIONS crystal
Os 0.0000 0.0000 0.0000
Rh 0.5000 0.5000 0.5000
Pb 0.2500 0.2500 0.2500
Pb 0.7500 0.7500 0.7500
CELL_PARAMETERS angstrom
0.0000 3.3729 3.3729
3.3729 0.0000 3.3729
3.3729 3.3729 0.0000
```

Summary:
size of the total moment	0.175	μB/atom
distance to the lowest polymorph of the same formula	209.5	meV per atom
DFT formation energy	14.1	kcal/mol of atoms
V	76.7	Å³/cell

# 14
The following is a PBE-GGA calculation of an optimized crystal structure of CaZnTeI2, from Alexandria via LeMat-Bulk. Values from VASP.

Geometry as Quantum ESPRESSO input:
```
&SYSTEM
  ibrav = 0, nat = 5, ntyp = 4
/
ATOMIC_SPECIES
Ca 40.08 Ca.upf
Zn 65.41 Zn.upf
Te 127.60 Te.upf
I 126.90 I.upf
ATOMIC_POSITIONS crystal
Ca 0.0000 0.0000 0.0000
Zn 0.5000 0.5000 0.5000
Te 0.5000 0.5000 0.0000
I 0.0000 0.5000 0.5000
I 0.5000 0.0000 0.5000
CELL_PARAMETERS angstrom
5.5287 0.0000 0.0000
0.0000 5.5287 0.0000
0.0000 0.0000 5.5890
```

Summary:
energy relative to the elements, uncorrected	-0.53	eV per atom
size of the total moment	0.000	μB/atom
distance to the lowest polymorph of the same formula	0.0	meV per atom
V	170.8	Å³/cell

# 15
The following is a PBE-GGA calculation of an optimized crystal structure of K6Ge2O7, from Alexandria via LeMat-Bulk. Values from VASP.

Geometry as Quantum ESPRESSO input:
```
&SYSTEM
  ibrav = 0, nat = 30, ntyp = 3
/
ATOMIC_SPECIES
K 39.10 K.upf
Ge 72.64 Ge.upf
O 16.00 O.upf
ATOMIC_POSITIONS crystal
K 0.0000 0.0409 0.0000
K 0.0000 0.9591 0.5000
K 0.1927 0.2776 0.3193
K 0.1927 0.7224 0.8193
K 0.3533 0.1014 0.8532
K 0.3533 0.8986 0.3532
K 0.4519 0.3991 0.7034
K 0.4519 0.6009 0.2034
K 0.6118 0.2222 0.2371
K 0.6118 0.7778 0.7371
K 0.8047 0.4589 0.5564
K 0.8047 0.5411 0.0564
Ge 0.0886 0.3934 0.9086
Ge 0.0886 0.6066 0.4086
Ge 0.7163 0.1068 0.6479
Ge 0.7163 0.8932 0.1479
O 0.1583 0.3374 0.0768
O 0.1583 0.6626 0.5768
O 0.3519 0.4141 0.9055
O 0.3519 0.5859 0.4055
O 0.4537 0.0867 0.6519
O 0.4537 0.9133 0.1519
O 0.6455 0.1614 0.4791
O 0.6455 0.8386 0.9791
O 0.8943 0.4531 0.3440
O 0.8943 0.5469 0.8440
O 0.9025 0.2508 0.7774
O 0.9025 0.7492 0.2774
O 0.9112 0.0464 0.2134
O 0.9112 0.9536 0.7134
CELL_PARAMETERS angstrom
6.6221 0.0000 0.0000
0.0000 9.2099 0.0000
-6.3410 0.0000 9.3894
```

Summary:
energy relative to the elements, uncorrected	-1.71	eV per atom
size of the total moment	0.012	μB/atom
V	572.6	Å³/cell

# 16
The following is a PBE-GGA calculation of an optimized crystal structure of Li2TcBr, from Alexandria via LeMat-Bulk. Values from VASP.

Geometry as Quantum ESPRESSO input:
```
&SYSTEM
  ibrav = 0, nat = 4, ntyp = 3
/
ATOMIC_SPECIES
Li 6.94 Li.upf
Tc 98.00 Tc.upf
Br 79.90 Br.upf
ATOMIC_POSITIONS crystal
Li 0.2422 0.2422 0.2422
Li 0.7578 0.7578 0.7578
Tc 0.0000 0.0000 0.0000
Br 0.5000 0.5000 0.5000
CELL_PARAMETERS angstrom
1.5078 0.8705 8.4350
-1.5078 0.8705 8.4350
0.0000 -1.7410 8.4350
```

Summary:
energy relative to the elements, uncorrected	0.08	eV per atom
size of the total moment	0.218	μB/atom
distance to the lowest polymorph of the same formula	0.0	meV per atom
V	66.4	Å³/cell

# 17
The following is a PBE-GGA calculation of an optimized crystal structure of Tc2Mo, from Alexandria via LeMat-Bulk. Values from VASP.

Geometry as Quantum ESPRESSO input:
```
&SYSTEM
  ibrav = 0, nat = 6, ntyp = 2
/
ATOMIC_SPECIES
Tc 98.00 Tc.upf
Mo 95.94 Mo.upf
ATOMIC_POSITIONS crystal
Tc 0.0000 0.0000 0.0000
Tc 0.1617 0.5000 0.8382
Tc 0.5000 0.8382 0.1618
Tc 0.8382 0.1617 0.5000
Mo 0.3355 0.3355 0.3355
Mo 0.6645 0.6645 0.6645
CELL_PARAMETERS angstrom
2.4074 1.3899 4.4933
-2.4074 1.3899 4.4933
0.0000 -2.7799 4.4933
```

Summary:
size of the total moment	0.000	μB/atom
distance to the lowest polymorph of the same formula	27.0	meV per atom
DFT formation energy	3.2	kcal/mol of atoms
V	90.2	Å³/cell

# 18
The following is a PBE-GGA calculation of an optimized crystal structure of Dy7ErTh2, from Alexandria via LeMat-Bulk. Values from VASP.

Geometry as Quantum ESPRESSO input:
```
&SYSTEM
  ibrav = 0, nat = 10, ntyp = 3
/
ATOMIC_SPECIES
Dy 162.50 Dy.upf
Er 167.26 Er.upf
Th 232.04 Th.upf
ATOMIC_POSITIONS crystal
Dy 0.0000 0.0000 0.0000
Dy 0.2146 0.4335 0.0000
Dy 0.2930 0.7070 0.5000
Dy 0.4335 0.2146 0.0000
Dy 0.5665 0.7854 0.0000
Dy 0.7070 0.2930 0.5000
Dy 0.7854 0.5665 0.0000
Er 0.5000 0.5000 0.5000
Th 0.2051 0.7949 0.0000
Th 0.7949 0.2051 0.0000
CELL_PARAMETERS angstrom
4.3425 -8.3198 0.0000
4.3425 8.3198 0.0000
0.0000 0.0000 5.4822
```

Summary:
size of the total moment	0.000	μB/atom
distance to the lowest polymorph of the same formula	306.4	meV per atom
DFT formation energy	17.8	kcal/mol of atoms
V	396.1	Å³/cell

# 19
The following is a PBE-GGA calculation of an optimized crystal structure of VMo2Au, from Alexandria via LeMat-Bulk. Values from VASP.

Geometry as Quantum ESPRESSO input:
```
&SYSTEM
  ibrav = 0, nat = 8, ntyp = 3
/
ATOMIC_SPECIES
V 50.94 V.upf
Mo 95.94 Mo.upf
Au 196.97 Au.upf
ATOMIC_POSITIONS crystal
V 0.0000 0.0000 0.0000
V 0.7500 0.2500 0.5000
Mo 0.0992 0.6250 0.9742
Mo 0.3750 0.3492 0.4742
Mo 0.6508 0.1250 0.0258
Mo 0.8750 0.9008 0.5258
Au 0.2500 0.7500 0.5000
Au 0.5000 0.5000 0.0000
CELL_PARAMETERS angstrom
-1.8921 1.8921 9.6007
1.8921 -1.8921 9.6007
1.8921 1.8921 -9.6007
```

Summary:
size of the total moment	0.287	μB/atom
distance to the lowest polymorph of the same formula	528.9	meV per atom
DFT formation energy	14.9	kcal/mol of atoms
V	137.5	Å³/cell

# 20
The following is a PBE-GGA calculation of an optimized crystal structure of Sm5Ge5Rh2, from Alexandria via LeMat-Bulk. Values from VASP.

Geometry as Quantum ESPRESSO input:
```
&SYSTEM
  ibrav = 0, nat = 12, ntyp = 3
/
ATOMIC_SPECIES
Sm 150.36 Sm.upf
Ge 72.64 Ge.upf
Rh 102.91 Rh.upf
ATOMIC_POSITIONS crystal
Sm 0.0000 0.0000 0.0000
Sm 0.1159 0.1159 0.4209
Sm 0.1971 0.1971 0.8246
Sm 0.8029 0.8029 0.1754
Sm 0.8841 0.8841 0.5791
Ge 0.2535 0.2535 0.3072
Ge 0.4416 0.4416 0.1622
Ge 0.5000 0.5000 0.5000
Ge 0.5584 0.5584 0.8378
Ge 0.7465 0.7465 0.6928
Rh 0.3553 0.3553 0.7420
Rh 0.6447 0.6447 0.2580
CELL_PARAMETERS angstrom
7.6669 -2.1368 0.0000
7.6669 2.1368 0.0000
-7.3499 0.0000 8.4396
```

Summary:
size of the total moment	0.000	μB/atom
DFT formation energy	-18.5	kcal/mol of atoms
V	276.5	Å³/cell